First-principles (PBE-GGA) data for an optimized crystal structure of LiCu2Pd7, as listed in the Alexandria database.

Geometry as CIF:
```
data_LiCu2Pd7
_chemical_formula_sum 'Li2 Cu4 Pd14'
_cell_length_a 7.164
_cell_length_b 12.295
_cell_length_c 4.265
_cell_angle_alpha 90.00
_cell_angle_beta 90.00
_cell_angle_gamma 90.00
_symmetry_space_group_name_H-M 'C m m m'
_symmetry_Int_Tables_number 65
_symmetry_space_group_name_Hall '-C 2 2'
loop_
_atom_site_label
_atom_site_fract_x
_atom_site_fract_y
_atom_site_fract_z
Li1 0.000 0.000 0.000
Cu1 0.000 0.300 0.500
Pd1 0.000 0.203 0.000
Pd2 0.000 0.500 0.500
Pd3 0.186 0.113 0.500
```

Properties
E_tot: -42.64 eV/f.u.
Calculated formation energy: 3.82 eV/f.u.
Magnetic moment: 0.0 μB per formula unit